Density functional theory data (PBE-GGA) for a relaxed structure of ReCl3.

Unit cell a=11.847 b=11.847 c=11.847 alpha=14.37 beta=14.37 gamma=14.37
Element x y z (fractional)
Cl  0.937  0.937  0.937
Cl  0.500  0.500  0.500
Re  0.000  0.000  0.000
Cl  0.063  0.063  0.063

The calculation puts the energy above the most stable polymorph in this dataset at 911.4 meV/atom. Its uncorrected energy is -4.26 eV per atom. The value obtained for the energy relative to the elements, uncorrected is 0.238 eV per atom.